CePuAgPd after structural relaxation, computed with PBE-GGA. Values from VASP.

Summary:
For the excess energy over the best structure of this formula in the dataset, the calculation gives 153 meV per atom. For the total DFT energy (no corrections), the calculation gives -7.302 eV/atom. Its space group is F-43m, No. 216. As for the energy relative to the elements: -0.22 eV/atom.

```
&SYSTEM
  ibrav = 0, nat = 4, ntyp = 4
/
ATOMIC_SPECIES
Ce 140.12 Ce.upf
Pd 106.42 Pd.upf
Pu 244.00 Pu.upf
Ag 107.87 Ag.upf
ATOMIC_POSITIONS angstrom
Ce 0.000 0.000 0.000
Pd -0.322 -1.958 9.193
Pu -0.215 -1.305 6.129
Ag -0.107 -0.653 3.064
CELL_PARAMETERS angstrom
-1.935 1.440 4.515
-1.280 -3.530 3.480
2.787 -0.521 4.263
```